(1)
Entry from Alexandria: a relaxed PaCdCu crystal (PBE).

Structure (CIF):
```
data_PaCdCu
_chemical_formula_sum 'Pa1 Cd1 Cu1'
_cell_length_a 4.7771
_cell_length_b 4.7771
_cell_length_c 3.1281
_cell_angle_alpha 90.00
_cell_angle_beta 90.00
_cell_angle_gamma 120.00
_symmetry_space_group_name_H-M 'P -6 m 2'
_symmetry_Int_Tables_number 187
_symmetry_space_group_name_Hall 'P -6 2'
loop_
_atom_site_label
_atom_site_type_symbol
_atom_site_fract_x
_atom_site_fract_y
_atom_site_fract_z
Pa1 Pa 0.0000 0.0000 0.0000
Cd1 Cd 0.3333 0.6667 0.5000
Cu1 Cu 0.6667 0.3333 0.5000
```

Summary:
polymorph energy (0 for the lowest one): 0.0455 eV per atom
E_form: 12 kJ/mol of atoms
theoretical density: 10.93 g/cm3
size of the total moment: 0.16 μB per atom
crystal system: hexagonal
Fermi-level density of states: 5.08 states/eV/f.u.

=====

(2)
Entry from Alexandria: a relaxed PaCdCu crystal (PBE).

Structure (CIF):
```
data_PaCdCu
_chemical_formula_sum 'Pa2 Cd2 Cu2'
_cell_length_a 3.5851
_cell_length_b 3.5851
_cell_length_c 9.4156
_cell_angle_alpha 90.00
_cell_angle_beta 90.00
_cell_angle_gamma 90.00
_symmetry_space_group_name_H-M 'P 4/n m m'
_symmetry_Int_Tables_number 129
loop_
_symmetry_equiv_pos_as_xyz
'x,y,z'
'-x,-y,-z'
'-y+1/2,x,z'
'y+1/2,-x,-z'
'-x+1/2,-y+1/2,z'
'x+1/2,y+1/2,-z'
'y,-x+1/2,z'
'-y,x+1/2,-z'
'x+1/2,-y,-z'
'-x+1/2,y,z'
'-y,-x,-z'
'y,x,z'
'-x,y+1/2,-z'
'x,-y+1/2,z'
'y+1/2,x+1/2,-z'
'-y+1/2,-x+1/2,z'
loop_
_atom_site_label
_atom_site_type_symbol
_atom_site_fract_x
_atom_site_fract_y
_atom_site_fract_z
Pa1 Pa 0.2500 0.2500 0.0751
Cd1 Cd 0.2500 0.2500 0.4122
Cu1 Cu 0.2500 0.2500 0.7381
```

Summary:
polymorph energy (0 for the lowest one): 0.1163 eV per atom
E_form: 19 kJ/mol of atoms
theoretical density: 11.17 g/cm3
size of the total moment: 0.00 μB per atom
crystal system: tetragonal
Fermi-level density of states: 3.48 states/eV/f.u.

=====

(3)
Entry from Alexandria: a relaxed Pa2CdCu crystal (PBE).

Structure (CIF):
```
data_Pa2CdCu
_chemical_formula_sum 'Pa6 Cd3 Cu3'
_cell_length_a 3.0882
_cell_length_b 3.0882
_cell_length_c 33.9310
_cell_angle_alpha 90.00
_cell_angle_beta 90.00
_cell_angle_gamma 120.00
_symmetry_space_group_name_H-M 'R -3 m'
_symmetry_Int_Tables_number 166
_symmetry_space_group_name_Hall '-R 3 2"'
loop_
_atom_site_label
_atom_site_type_symbol
_atom_site_fract_x
_atom_site_fract_y
_atom_site_fract_z
Pa1 Pa 0.0000 0.0000 0.0970
Cd1 Cd 0.0000 0.0000 0.0000
Cu1 Cu 0.0000 0.0000 0.5000
```

Summary:
polymorph energy (0 for the lowest one): 0.2285 eV per atom
E_form: 32 kJ/mol of atoms
theoretical density: 11.34 g/cm3
size of the total moment: 0.00 μB per atom
crystal system: trigonal
Fermi-level density of states: 7.02 states/eV/f.u.

=====

Copy entry 2 word for word.
Entry from Alexandria: a relaxed PaCdCu crystal (PBE).

Structure (CIF):
```
data_PaCdCu
_chemical_formula_sum 'Pa2 Cd2 Cu2'
_cell_length_a 3.5851
_cell_length_b 3.5851
_cell_length_c 9.4156
_cell_angle_alpha 90.00
_cell_angle_beta 90.00
_cell_angle_gamma 90.00
_symmetry_space_group_name_H-M 'P 4/n m m'
_symmetry_Int_Tables_number 129
loop_
_symmetry_equiv_pos_as_xyz
'x,y,z'
'-x,-y,-z'
'-y+1/2,x,z'
'y+1/2,-x,-z'
'-x+1/2,-y+1/2,z'
'x+1/2,y+1/2,-z'
'y,-x+1/2,z'
'-y,x+1/2,-z'
'x+1/2,-y,-z'
'-x+1/2,y,z'
'-y,-x,-z'
'y,x,z'
'-x,y+1/2,-z'
'x,-y+1/2,z'
'y+1/2,x+1/2,-z'
'-y+1/2,-x+1/2,z'
loop_
_atom_site_label
_atom_site_type_symbol
_atom_site_fract_x
_atom_site_fract_y
_atom_site_fract_z
Pa1 Pa 0.2500 0.2500 0.0751
Cd1 Cd 0.2500 0.2500 0.4122
Cu1 Cu 0.2500 0.2500 0.7381
```

Summary:
polymorph energy (0 for the lowest one): 0.1163 eV per atom
E_form: 19 kJ/mol of atoms
theoretical density: 11.17 g/cm3
size of the total moment: 0.00 μB per atom
crystal system: tetragonal
Fermi-level density of states: 3.48 states/eV/f.u.

=====

Q: theoretical density of number 2 (PaCdCu)?
A: 11.17 g/cm3

=====

Copy entry 2 word for word.
Entry from Alexandria: a relaxed PaCdCu crystal (PBE).

Structure (CIF):
```
data_PaCdCu
_chemical_formula_sum 'Pa2 Cd2 Cu2'
_cell_length_a 3.5851
_cell_length_b 3.5851
_cell_length_c 9.4156
_cell_angle_alpha 90.00
_cell_angle_beta 90.00
_cell_angle_gamma 90.00
_symmetry_space_group_name_H-M 'P 4/n m m'
_symmetry_Int_Tables_number 129
loop_
_symmetry_equiv_pos_as_xyz
'x,y,z'
'-x,-y,-z'
'-y+1/2,x,z'
'y+1/2,-x,-z'
'-x+1/2,-y+1/2,z'
'x+1/2,y+1/2,-z'
'y,-x+1/2,z'
'-y,x+1/2,-z'
'x+1/2,-y,-z'
'-x+1/2,y,z'
'-y,-x,-z'
'y,x,z'
'-x,y+1/2,-z'
'x,-y+1/2,z'
'y+1/2,x+1/2,-z'
'-y+1/2,-x+1/2,z'
loop_
_atom_site_label
_atom_site_type_symbol
_atom_site_fract_x
_atom_site_fract_y
_atom_site_fract_z
Pa1 Pa 0.2500 0.2500 0.0751
Cd1 Cd 0.2500 0.2500 0.4122
Cu1 Cu 0.2500 0.2500 0.7381
```

Summary:
polymorph energy (0 for the lowest one): 0.1163 eV per atom
E_form: 19 kJ/mol of atoms
theoretical density: 11.17 g/cm3
size of the total moment: 0.00 μB per atom
crystal system: tetragonal
Fermi-level density of states: 3.48 states/eV/f.u.

=====

Copy entry 3 word for word.
Entry from Alexandria: a relaxed Pa2CdCu crystal (PBE).

Structure (CIF):
```
data_Pa2CdCu
_chemical_formula_sum 'Pa6 Cd3 Cu3'
_cell_length_a 3.0882
_cell_length_b 3.0882
_cell_length_c 33.9310
_cell_angle_alpha 90.00
_cell_angle_beta 90.00
_cell_angle_gamma 120.00
_symmetry_space_group_name_H-M 'R -3 m'
_symmetry_Int_Tables_number 166
_symmetry_space_group_name_Hall '-R 3 2"'
loop_
_atom_site_label
_atom_site_type_symbol
_atom_site_fract_x
_atom_site_fract_y
_atom_site_fract_z
Pa1 Pa 0.0000 0.0000 0.0970
Cd1 Cd 0.0000 0.0000 0.0000
Cu1 Cu 0.0000 0.0000 0.5000
```

Summary:
polymorph energy (0 for the lowest one): 0.2285 eV per atom
E_form: 32 kJ/mol of atoms
theoretical density: 11.34 g/cm3
size of the total moment: 0.00 μB per atom
crystal system: trigonal
Fermi-level density of states: 7.02 states/eV/f.u.